Entry 1:
Computed, not measured: crystalline ZrTa2Hg2 at its relaxed geometry at the PBE level of DFT.

Density ... 12.69 g/cm³
ΔH_f (0 K) ... 0.614 eV per atom
Energy ... -5.957 eV/atom
ΔE to the lowest computed polymorph ... 0.167 eV/atom
Space group ... I4/mmm

a b c (Å): 4.127 4.127 7.185
angles (deg): 73.31 73.31 90.00
Fractional positions:
Zr: 0.000 0.000 0.000
Ta: 0.405 0.405 0.189
Ta: 0.595 0.595 0.811
Hg: 0.750 0.250 0.500
Hg: 0.250 0.750 0.500


Entry 2:
Computed, not measured: crystalline ZrTaHg2 at its relaxed geometry at the PBE level of DFT.

Density ... 13.79 g/cm³
ΔH_f (0 K) ... 0.138 eV per atom
Energy ... -5.113 eV/atom
ΔE to the lowest computed polymorph ... 0.034 eV/atom
Space group ... I4/mmm

a b c (Å): 5.270 5.270 5.270
angles (deg): 131.17 131.20 71.51
Fractional positions:
Zr: 0.250 0.750 0.500
Hg: 0.000 0.000 0.000
Hg: 0.500 0.500 0.000
Ta: 0.750 0.250 0.500